The following is a DFT calculation (PBE) of crystalline SrTc2Br at its relaxed geometry.

Structure (POSCAR):
```
SrTc2Br
1.0
0.000 3.357 3.357
3.357 0.000 3.357
3.357 3.357 0.000
Sr Tc Br
1 2 1
Direct
0.000 0.000 0.000 Sr
0.250 0.250 0.250 Tc
0.750 0.750 0.750 Tc
0.500 0.500 0.500 Br
```

Values from the calculation:
Excess energy over the best structure of this formula in the dataset in kJ/mol of atoms: 132.8
Calculated total energy in eV/atom: -4.5973
Formation energy (no corrections) in meV/atom: 1424
Calculated volume in Å³/atom: 18.91

The following is a DFT calculation (PBE) of crystalline SrTcBr6 at its relaxed geometry.

Structure (POSCAR):
```
SrTcBr6
1.0
3.539 -6.266 0.000
3.539 6.266 0.000
-1.948 0.000 6.654
Sr Tc Br
1 1 6
Direct
0.000 0.000 0.000 Sr
0.500 0.500 0.500 Tc
0.155 0.449 0.278 Br
0.259 0.259 0.707 Br
0.449 0.155 0.278 Br
0.551 0.845 0.722 Br
0.741 0.741 0.293 Br
0.845 0.551 0.722 Br
```

Values from the calculation:
Calculated total energy in eV/atom: -3.7353
Formation energy (no corrections) in meV/atom: -975
Calculated volume in Å³/atom: 36.89